# 1
A relaxed structure of ThMg4Pd15. Source: Alexandria via LeMat-Bulk, functional PBE-GGA.

a = 4.078 Å, b = 4.078 Å, c = 19.609 Å
α = 90.00°, β = 90.00°, γ = 90.00°
Sites, in units of the cell vectors:
Th 0.000 0.000 0.000
Mg 0.000 0.000 0.209
Mg 0.000 0.000 0.402
Mg 0.000 0.000 0.598
Mg 0.000 0.000 0.791
Pd 0.500 0.500 0.000
Pd 0.500 0.500 0.208
Pd 0.500 0.500 0.404
Pd 0.500 0.500 0.596
Pd 0.500 0.500 0.792
Pd 0.500 0.000 0.109
Pd 0.500 0.000 0.306
Pd 0.500 0.000 0.500
Pd 0.500 0.000 0.694
Pd 0.500 0.000 0.891
Pd 0.000 0.500 0.109
Pd 0.000 0.500 0.306
Pd 0.000 0.500 0.500
Pd 0.000 0.500 0.694
Pd 0.000 0.500 0.891

---

# 2
A relaxed structure of ThMgPd3. Source: Alexandria via LeMat-Bulk, functional PBE-GGA.

a = 5.710 Å, b = 8.862 Å, c = 7.854 Å
α = 90.00°, β = 90.00°, γ = 90.00°
Sites, in units of the cell vectors:
Th 0.500 0.509 0.750
Th 0.000 0.009 0.250
Th 0.500 0.491 0.250
Th 0.000 0.991 0.750
Mg 0.000 0.500 0.000
Mg 0.500 0.000 0.500
Mg 0.500 0.000 0.000
Mg 0.000 0.500 0.500
Pd 0.751 0.250 0.057
Pd 0.749 0.750 0.557
Pd 0.749 0.750 0.943
Pd 0.249 0.750 0.557
Pd 0.249 0.750 0.943
Pd 0.251 0.250 0.443
Pd 0.251 0.250 0.057
Pd 0.751 0.250 0.443
Pd 0.001 0.305 0.750
Pd 0.499 0.805 0.250
Pd 0.999 0.695 0.250
Pd 0.501 0.195 0.750

---

# 3
A relaxed structure of ThMgPd5. Source: Alexandria via LeMat-Bulk, functional PBE-GGA.

a = 4.257 Å, b = 4.257 Å, c = 7.159 Å
α = 90.00°, β = 90.00°, γ = 90.00°
Sites, in units of the cell vectors:
Th 0.000 0.000 0.500
Mg 0.500 0.500 0.000
Pd 0.000 0.500 0.782
Pd 0.000 0.500 0.218
Pd 0.500 0.000 0.782
Pd 0.500 0.000 0.218
Pd 0.500 0.500 0.500

---

# 4
A relaxed structure of Th3Mg5Pd2. Source: Alexandria via LeMat-Bulk, functional PBE-GGA.

a = 6.491 Å, b = 9.393 Å, c = 9.393 Å
α = 78.56°, β = 69.79°, γ = 69.79°
Sites, in units of the cell vectors:
Th 0.250 0.000 0.000
Th 0.750 0.000 0.000
Th 0.343 0.396 0.917
Th 0.657 0.604 0.083
Th 0.843 0.917 0.396
Th 0.157 0.083 0.604
Mg 0.250 0.500 0.500
Mg 0.750 0.500 0.500
Mg 0.521 0.729 0.729
Mg 0.979 0.271 0.271
Mg 0.479 0.271 0.271
Mg 0.021 0.729 0.729
Mg 0.088 0.586 0.238
Mg 0.912 0.414 0.762
Mg 0.588 0.238 0.586
Mg 0.412 0.762 0.414
Pd 0.154 0.720 0.972
Pd 0.846 0.280 0.028
Pd 0.654 0.972 0.720
Pd 0.346 0.028 0.280

---

# 5
A relaxed structure of Th2MgPd. Source: Alexandria via LeMat-Bulk, functional PBE-GGA.

energy above the most stable polymorph in this dataset: 1.36 eV/f.u.

a = 3.426 Å, b = 3.426 Å, c = 11.502 Å
α = 81.44°, β = 81.44°, γ = 60.00°
Sites, in units of the cell vectors:
Mg 0.000 0.000 0.000
Pd 0.500 0.500 0.500
Th 0.100 0.100 0.701
Th 0.900 0.900 0.299

---

# 6
A relaxed structure of ThMg5Pd6. Source: Alexandria via LeMat-Bulk, functional PBE-GGA.

a = 4.663 Å, b = 6.577 Å, c = 7.352 Å
α = 90.00°, β = 108.71°, γ = 90.00°
Sites, in units of the cell vectors:
Mg 0.666 0.500 0.331
Mg 0.323 0.000 0.647
Mg 0.000 0.500 0.000
Mg 0.677 0.000 0.353
Mg 0.334 0.500 0.669
Pd 0.832 0.739 0.663
Pd 0.832 0.261 0.663
Pd 0.500 0.266 0.000
Pd 0.500 0.734 0.000
Pd 0.168 0.739 0.337
Pd 0.168 0.261 0.337
Th 0.000 0.000 0.000

---

# 7
A relaxed structure of ThMgPd4. Source: Alexandria via LeMat-Bulk, functional PBE-GGA.

a = 7.207 Å, b = 7.001 Å, c = 8.692 Å
α = 128.38°, β = 127.12°, γ = 89.45°
Sites, in units of the cell vectors:
Th 0.099 0.878 0.738
Th 0.901 0.122 0.262
Mg 0.402 0.660 0.281
Mg 0.598 0.340 0.719
Pd 0.904 0.182 0.960
Pd 0.412 0.655 0.951
Pd 0.412 0.654 0.616
Pd 0.588 0.346 0.384
Pd 0.096 0.817 0.374
Pd 0.588 0.345 0.049
Pd 0.904 0.183 0.626
Pd 0.096 0.818 0.040

---

# 8
A relaxed structure of ThMg2Pd9. Source: Alexandria via LeMat-Bulk, functional PBE-GGA.

a = 4.156 Å, b = 4.156 Å, c = 11.625 Å
α = 90.00°, β = 90.00°, γ = 90.00°
Sites, in units of the cell vectors:
Th 0.000 0.000 0.000
Mg 0.000 0.000 0.344
Mg 0.000 0.000 0.656
Pd 0.500 0.500 0.000
Pd 0.500 0.500 0.341
Pd 0.500 0.500 0.659
Pd 0.500 0.000 0.179
Pd 0.500 0.000 0.500
Pd 0.500 0.000 0.821
Pd 0.000 0.500 0.179
Pd 0.000 0.500 0.500
Pd 0.000 0.500 0.821

---

# 9
A relaxed structure of ThMgTlPd. Source: Alexandria via LeMat-Bulk, functional PBE-GGA.

a = 5.120 Å, b = 5.120 Å, c = 5.120 Å
α = 60.00°, β = 60.00°, γ = 60.00°
Sites, in units of the cell vectors:
Mg 0.750 0.750 0.750
Tl 0.000 0.000 0.000
Pd 0.500 0.500 0.500
Th 0.250 0.250 0.250

---

# 10
A relaxed structure of TmThMgPd. Source: Alexandria via LeMat-Bulk, functional PBE-GGA.

a = 5.187 Å, b = 5.187 Å, c = 5.187 Å
α = 60.00°, β = 60.00°, γ = 60.00°
Sites, in units of the cell vectors:
Mg 0.500 0.500 0.500
Tm 0.750 0.750 0.750
Pd 0.000 0.000 0.000
Th 0.250 0.250 0.250

---

# 11
A relaxed structure of ThMgZn2Pd4. Source: Alexandria via LeMat-Bulk, functional PBE-GGA.

a = 4.406 Å, b = 4.406 Å, c = 8.804 Å
α = 75.51°, β = 75.51°, γ = 60.00°
Sites, in units of the cell vectors:
Th 0.000 0.000 0.000
Mg 0.500 0.500 0.500
Zn 0.762 0.762 0.713
Zn 0.238 0.238 0.287
Pd 0.396 0.396 0.811
Pd 0.873 0.873 0.380
Pd 0.127 0.127 0.620
Pd 0.604 0.604 0.189

---

# 12
A relaxed structure of ThMgZn5Pd2. Source: Alexandria via LeMat-Bulk, functional PBE-GGA.

a = 4.802 Å, b = 4.802 Å, c = 7.585 Å
α = 90.00°, β = 90.00°, γ = 90.00°
Sites, in units of the cell vectors:
Th 0.000 0.000 0.500
Mg 0.000 0.000 0.000
Zn 0.000 0.500 0.235
Zn 0.500 0.000 0.235
Zn 0.000 0.500 0.765
Zn 0.500 0.000 0.765
Zn 0.500 0.500 0.500
Pd 0.500 0.500 0.174
Pd 0.500 0.500 0.826

---

| no. | DOS(E_F) (states/eV/cell) | DFT total energy (eV per atom) | energy of formation (eV/atom) |
| --- | --- | --- | --- |
| 1 | 23.23 | -5.153 | -0.569 |
| 2 | 12.47 | -5.527 | -0.608 |
| 3 | 1.94 | -5.674 | -0.677 |
| 4 | 17.85 | -4.243 | -0.181 |
| 5 | 4.25 | -5.341 | 0.065 |
| 6 | 4.93 | -4.590 | -0.710 |
| 7 | 5.37 | -5.652 | -0.688 |
| 8 | 11.10 | -5.418 | -0.639 |
| 9 | 2.64 | -4.504 | -0.361 |
| 10 | 3.92 | -4.940 | -0.271 |
| 11 | 3.60 | -4.700 | -0.659 |
| 12 | 4.17 | -3.024 | -0.160 |